# La6GeCl8 (PBE-GGA, optimized geometry)
# uncorrected formation energy	-1.8593	eV per atom
data_La6GeCl8
_chemical_formula_sum 'La18 Ge3 Cl24'
_cell_length_a 7.2327
_cell_length_b 7.2327
_cell_length_c 30.6892
_cell_angle_alpha 90.00
_cell_angle_beta 90.00
_cell_angle_gamma 120.00
_symmetry_space_group_name_H-M 'R -3'
_symmetry_Int_Tables_number 148
_symmetry_space_group_name_Hall '-R 3'
loop_
_atom_site_label
_atom_site_type_symbol
_atom_site_fract_x
_atom_site_fract_y
_atom_site_fract_z
_atom_site_occupancy
La1 La 0.0004 0.3358 0.4453 1
Ge1 Ge 0.0000 0.0000 0.5000 1
Cl1 Cl 0.0000 0.0000 0.1666 1
Cl2 Cl 0.0005 0.3252 0.6099 1

# CdGa2PbBr6 (PBE-GGA, optimized geometry)
# uncorrected formation energy	-0.6684	eV per atom
data_CdGa2PbBr6
_chemical_formula_sum 'Cd1 Ga2 Pb1 Br6'
_cell_length_a 7.712
_cell_length_b 7.712
_cell_length_c 6.633
_cell_angle_alpha 90.00
_cell_angle_beta 90.00
_cell_angle_gamma 90.00
_symmetry_space_group_name_H-M 'P 4 m m'
_symmetry_Int_Tables_number 99
loop_
_symmetry_equiv_pos_as_xyz
'x,y,z'
'-y,x,z'
'-x,-y,z'
'y,-x,z'
'-x,y,z'
'y,x,z'
'x,-y,z'
'-y,-x,z'
loop_
_atom_site_label
_atom_site_type_symbol
_atom_site_fract_x
_atom_site_fract_y
_atom_site_fract_z
_atom_site_occupancy
Cd1 Cd 0.000 0.000 0.000 1
Ga1 Ga 0.000 0.500 0.389 1
Pb1 Pb 0.500 0.500 0.000 1
Br1 Br 0.000 0.000 0.616 1
Br2 Br 0.238 0.238 0.157 1
Br3 Br 0.500 0.500 0.580 1

# Rb2InAsAu (PBE-GGA, optimized geometry)
# formation energy	0.0478	eV per atom
data_Rb2InAsAu
_chemical_formula_sum 'Rb2 In1 As1 Au1'
_cell_length_a 6.788
_cell_length_b 6.788
_cell_length_c 4.791
_cell_angle_alpha 90.00
_cell_angle_beta 90.00
_cell_angle_gamma 90.00
_symmetry_space_group_name_H-M 'P 4/m m m'
_symmetry_Int_Tables_number 123
_symmetry_space_group_name_Hall '-P 4 2'
loop_
_atom_site_label
_atom_site_type_symbol
_atom_site_fract_x
_atom_site_fract_y
_atom_site_fract_z
_atom_site_occupancy
Rb1 Rb 0.000 0.500 0.000 1
In1 In 0.000 0.000 0.500 1
As1 As 0.500 0.500 0.000 1
Au1 Au 0.500 0.500 0.500 1

# Ta2InAg (PBE-GGA, optimized geometry)
# formation energy	0.2700	eV per atom
data_Ta2InAg
_chemical_formula_sum 'Ta6 In3 Ag3'
_cell_length_a 2.9822
_cell_length_b 2.9822
_cell_length_c 29.9498
_cell_angle_alpha 90.00
_cell_angle_beta 90.00
_cell_angle_gamma 120.00
_symmetry_space_group_name_H-M 'R 3 m'
_symmetry_Int_Tables_number 160
_symmetry_space_group_name_Hall 'R 3 -2"'
loop_
_atom_site_label
_atom_site_type_symbol
_atom_site_fract_x
_atom_site_fract_y
_atom_site_fract_z
_atom_site_occupancy
Ta1 Ta 0.0000 0.0000 0.0000 1
Ta2 Ta 0.0000 0.0000 0.2494 1
In1 In 0.0000 0.0000 0.7512 1
Ag1 Ag 0.0000 0.0000 0.5017 1

Number 1: Fermi-level density of states 7.7 states/eV/f.u., energy -230.53 eV per cell. Number 2: Fermi-level density of states 0.0 states/eV/f.u., energy -27.40 eV per cell. Number 3: Fermi-level density of states 7.1 states/eV/f.u., energy -12.36 eV per cell. Number 4: Fermi-level density of states 5.4 states/eV/f.u., energy -84.64 eV per cell.